Record 1
Entry from Alexandria: a relaxed CePr3Sm6 crystal (PBE-GGA).

The total energy comes out at -46.06 eV/cell. The formation energy comes out at 0.253 eV per atom.

Cell: 7.0041 7.0041 7.0041 Å, 91.71 91.71 91.71°
Closest atoms and distances in Å follow each position.
Positions (direct):
Ce1 0.0000 0.0000 0.0000  2 Pr 2.84
Pr1 0.2417 0.2417 0.2417  1 Ce 2.84, 1 Pr 3.04
Pr2 0.5000 0.5000 0.5000  2 Pr 3.04, 3 Sm 3.27
Pr3 0.7585 0.7585 0.7585  1 Ce 2.84, 1 Pr 3.04
Sm1 0.0002 0.3209 0.6801  1 Ce 3.22, 2 Pr 3.58-3.59
Sm2 0.1751 0.8261 0.5003  3 Pr 3.27-3.51
Sm3 0.3209 0.6801 0.0002  1 Ce 3.22, 2 Pr 3.58-3.59
Sm4 0.5003 0.1751 0.8261  3 Pr 3.27-3.51
Sm5 0.6801 0.0002 0.3209  1 Ce 3.22, 2 Pr 3.58-3.59
Sm6 0.8261 0.5003 0.1751  3 Pr 3.27-3.51

***

Record 2
Entry from Alexandria: a relaxed NdHPt crystal (PBE-GGA).

The total energy comes out at -66.39 eV/cell. The value obtained for the polymorph energy (0 for the lowest one) is 0 meV/atom.

Cell: 10.9268 4.7380 3.9553 Å, 90.00 90.00 90.00°
Closest atoms and distances in Å follow each position.
Positions (direct):
Nd1 0.1390 0.2500 0.0000  3 H 2.43-2.47
Nd2 0.3610 0.7500 0.5000  3 H 2.43-2.47
Nd3 0.6390 0.2500 0.5000  3 H 2.43-2.47
Nd4 0.8610 0.7500 0.0000  3 H 2.43-2.47
H1 0.1873 0.7500 0.1160  1 Pt 1.83
H2 0.3127 0.2500 0.6160  1 Pt 1.83
H3 0.6873 0.7500 0.3840  1 Pt 1.83
H4 0.8127 0.2500 0.8840  1 Pt 1.83
Pt1 0.0746 0.7500 0.4580  1 H 1.83
Pt2 0.4254 0.2500 0.9580  1 H 1.83
Pt3 0.5746 0.7500 0.0420  1 H 1.83
Pt4 0.9254 0.2500 0.5420  1 H 1.83

***

Record 3
Entry from Alexandria: a relaxed PtRh2CI crystal (PBE-GGA).

The calculation puts the formation energy (no corrections) at 58.7 kJ per mole of atoms. The total energy comes out at -28.47 eV/cell.

Cell: 4.3043 4.3043 4.1851 Å, 90.00 90.00 90.00°
Closest atoms and distances in Å follow each position.
Positions (direct):
Pt1 0.0000 0.0000 0.0000  2 C 2.09
Rh1 0.0000 0.5000 0.5000  2 C 2.15
Rh2 0.5000 0.0000 0.5000  2 C 2.15
C1 0.0000 0.0000 0.5000  2 Pt 2.09, 4 Rh 2.15
I1 0.5000 0.5000 0.0000  8 Rh 3.00, 4 Pt 3.04